# 1
Below is an optimized crystal structure of In2AgSb, with properties calculated at the GGA-PBE level.

abc: 5.4289 5.4289 5.4289
angles: 126.29 126.29 79.41
Last column: nearest neighbours and their distance in Å.
Fractional positions:
Sb: 0.5000 0.5000 0.0000  8 In 3.22-3.47, 4 Ag 3.22
Ag: 0.7500 0.2500 0.5000  8 In 3.22-3.47, 4 Sb 3.22
In: 0.0000 0.0000 0.0000  4 Ag 3.22, 4 In 3.22, 4 Sb 3.47
In: 0.2500 0.7500 0.5000  4 Sb 3.22, 4 In 3.22, 4 Ag 3.47

SG: I-4m2 (119)
Total DFT energy (no corrections) in eV per atom: -3.02

---

# 2
Below is an optimized crystal structure of AcTi2Si4, with properties calculated at the GGA-PBE level.

abc: 3.6834 3.8022 9.8924
angles: 101.08 100.73 90.00
Last column: nearest neighbours and their distance in Å.
Fractional positions:
Ac: 0.5000 0.0000 0.0000  8 Si 3.20
Ti: 0.8063 0.8063 0.6126  7 Si 2.57-2.68
Ti: 0.1937 0.1937 0.3874  7 Si 2.57-2.68
Si: 0.6715 0.6715 0.3431  2 Si 2.36, 1 Ti 2.57
Si: 0.3285 0.3285 0.6569  2 Si 2.36, 1 Ti 2.57
Si: 0.0943 0.5943 0.1887  2 Si 2.36
Si: 0.9057 0.4057 0.8113  2 Si 2.36

SG: Immm (71)
Total DFT energy (no corrections) in eV per atom: -6.45

---

# 3
Below is an optimized crystal structure of LiGdSe2, with properties calculated at the GGA-PBE level.

abc: 4.1291 4.1291 5.6192
angles: 90.00 90.00 90.00
Last column: nearest neighbours and their distance in Å.
Fractional positions:
Gd: 0.5000 0.5000 0.5000  6 Se 2.81-2.92
Se: 0.0000 0.0000 0.5000  2 Li 2.81, 4 Gd 2.92
Se: 0.5000 0.5000 0.0000  2 Gd 2.81, 4 Li 2.92
Li: 0.0000 0.0000 0.0000  6 Se 2.81-2.92

SG: P4/mmm (123)
Total DFT energy (no corrections) in eV per atom: -7.37